(1)
! TlVNiCl6 (GGA-PBE, optimized geometry); values from VASP
&SYSTEM
  ibrav = 0, nat = 9, ntyp = 4
/
ATOMIC_SPECIES
Tl 204.38 Tl.upf
V 50.94 V.upf
Ni 58.69 Ni.upf
Cl 35.45 Cl.upf
CELL_PARAMETERS angstrom
6.266 0.000 0.000
-3.133 5.427 0.000
0.000 0.000 7.173
ATOMIC_POSITIONS crystal
Tl 0.000 0.000 0.000
V 0.667 0.333 0.500
Ni 0.333 0.667 0.500
Cl 0.372 0.001 0.689
Cl 0.372 0.371 0.311
Cl 0.629 0.001 0.311
Cl 0.629 0.628 0.689
Cl 0.999 0.371 0.689
Cl 0.999 0.628 0.311
! formation energy (no corrections) = -0.96 eV per atom
! calculated density = 3.59 g/cm³
! total DFT energy (no corrections) = -37.0 eV per cell

(2)
! Tm3NiCl3 (GGA-PBE, optimized geometry); values from VASP
&SYSTEM
  ibrav = 0, nat = 14, ntyp = 3
/
ATOMIC_SPECIES
Tm 168.93 Tm.upf
Ni 58.69 Ni.upf
Cl 35.45 Cl.upf
CELL_PARAMETERS angstrom
3.242 1.872 10.387
-3.242 1.872 10.387
0.000 -3.744 10.387
ATOMIC_POSITIONS crystal
Tm 0.107 0.450 0.792
Tm 0.208 0.893 0.550
Tm 0.450 0.792 0.107
Tm 0.550 0.208 0.893
Tm 0.792 0.107 0.450
Tm 0.893 0.550 0.208
Ni 0.167 0.167 0.167
Ni 0.833 0.833 0.833
Cl 0.067 0.720 0.394
Cl 0.280 0.606 0.933
Cl 0.394 0.067 0.720
Cl 0.606 0.933 0.280
Cl 0.720 0.394 0.067
Cl 0.933 0.280 0.606
! formation energy (no corrections) = -1.39 eV per atom
! calculated density = 5.90 g/cm³
! total DFT energy (no corrections) = -69.0 eV per cell